Version one
Computed, not measured: a relaxed InHg2Pb6 crystal at the PBE level of DFT.

Cell lengths 3.416, 3.416, 27.166 Å; angles 90.00, 90.00, 120.00 degrees
Fractional coordinates of all 9 atoms:
In (0.000, 0.000, 0.000)
Hg (0.333, 0.667, 0.329)
Hg (0.333, 0.667, 0.671)
Pb (0.000, 0.000, 0.222)
Pb (0.000, 0.000, 0.437)
Pb (0.000, 0.000, 0.563)
Pb (0.000, 0.000, 0.778)
Pb (0.333, 0.667, 0.109)
Pb (0.333, 0.667, 0.891)

---

Version two
Computed, not measured: a relaxed InHg2Pb6 crystal at the PBE level of DFT.

Cell lengths 7.239, 7.239, 10.980 Å; angles 104.30, 104.30, 28.64 degrees
Fractional coordinates of all 9 atoms:
In (0.000, 0.000, 0.000)
Hg (0.341, 0.341, 0.794)
Hg (0.659, 0.659, 0.206)
Pb (0.014, 0.014, 0.341)
Pb (0.323, 0.323, 0.424)
Pb (0.336, 0.336, 0.112)
Pb (0.664, 0.664, 0.888)
Pb (0.677, 0.677, 0.576)
Pb (0.986, 0.986, 0.659)

---

Stability verdict: version two, ahead by 4.4 kJ/mol of atoms

---

Version one
Computed, not measured: a relaxed In8Hg6Pb crystal at the PBE level of DFT.

Cell lengths 6.762, 7.591, 8.366 Å; angles 75.49, 79.09, 85.00 degrees
Fractional coordinates of all 15 atoms:
In (0.057, 0.150, 0.086)
In (0.164, 0.836, 0.504)
In (0.284, 0.529, 0.901)
In (0.389, 0.811, 0.102)
In (0.611, 0.189, 0.898)
In (0.716, 0.471, 0.099)
In (0.836, 0.164, 0.496)
In (0.943, 0.850, 0.914)
Hg (0.007, 0.587, 0.303)
Hg (0.323, 0.077, 0.699)
Hg (0.334, 0.246, 0.299)
Hg (0.666, 0.754, 0.701)
Hg (0.677, 0.923, 0.301)
Hg (0.993, 0.413, 0.697)
Pb (0.500, 0.500, 0.500)

---

Version two
Computed, not measured: a relaxed In8Hg6Pb crystal at the PBE level of DFT.

Cell lengths 8.561, 8.561, 8.561 Å; angles 58.88, 58.88, 58.88 degrees
Fractional coordinates of all 15 atoms:
In (0.070, 0.375, 0.704)
In (0.162, 0.162, 0.162)
In (0.296, 0.930, 0.625)
In (0.375, 0.704, 0.070)
In (0.625, 0.296, 0.930)
In (0.704, 0.070, 0.375)
In (0.838, 0.838, 0.838)
In (0.930, 0.625, 0.296)
Hg (0.077, 0.777, 0.441)
Hg (0.223, 0.559, 0.923)
Hg (0.441, 0.077, 0.777)
Hg (0.559, 0.923, 0.223)
Hg (0.777, 0.441, 0.077)
Hg (0.923, 0.223, 0.559)
Pb (0.500, 0.500, 0.500)

---

Stability verdict: version one, ahead by 1.1 kJ/mol of atoms

---

Version one
Computed, not measured: a relaxed In4HgPb crystal at the PBE level of DFT.

Cell lengths 4.750, 5.249, 7.518 Å; angles 83.17, 89.94, 89.85 degrees
Fractional coordinates of all 6 atoms:
In (0.000, 0.000, 0.000)
In (0.000, 0.057, 0.503)
In (0.500, 0.555, 0.033)
In (0.501, 0.500, 0.470)
Hg (0.500, 0.028, 0.252)
Pb (0.000, 0.529, 0.751)

---

Version two
Computed, not measured: a relaxed In4HgPb crystal at the PBE level of DFT.

Cell lengths 6.253, 6.253, 6.253 Å; angles 60.00, 60.00, 60.00 degrees
Fractional coordinates of all 6 atoms:
In (0.125, 0.125, 0.125)
In (0.125, 0.125, 0.625)
In (0.125, 0.625, 0.125)
In (0.625, 0.125, 0.125)
Hg (0.500, 0.500, 0.500)
Pb (0.750, 0.750, 0.750)

---

Stability verdict: version one, ahead by 1.4 kJ/mol of atoms

---

Version one
Computed, not measured: a relaxed InHgPb3 crystal at the PBE level of DFT.

Cell lengths 3.503, 7.809, 11.483 Å; angles 99.52, 98.33, 102.64 degrees
Fractional coordinates of all 10 atoms:
In (0.128, 0.108, 0.144)
In (0.872, 0.892, 0.856)
Hg (0.367, 0.084, 0.675)
Hg (0.633, 0.916, 0.325)
Pb (0.111, 0.495, 0.730)
Pb (0.368, 0.272, 0.454)
Pb (0.370, 0.697, 0.049)
Pb (0.630, 0.303, 0.951)
Pb (0.632, 0.728, 0.546)
Pb (0.889, 0.505, 0.270)

---

Version two
Computed, not measured: a relaxed InHgPb3 crystal at the PBE level of DFT.

Cell lengths 5.767, 5.767, 5.767 Å; angles 90.00, 90.00, 90.00 degrees
Fractional coordinates of all 5 atoms:
In (0.000, 0.000, 0.000)
Hg (0.500, 0.500, 0.500)
Pb (0.000, 0.500, 0.500)
Pb (0.500, 0.000, 0.500)
Pb (0.500, 0.500, 0.000)

---

Version three
Computed, not measured: a relaxed InHgPb3 crystal at the PBE level of DFT.

Cell lengths 5.842, 6.815, 8.000 Å; angles 90.00, 109.93, 90.00 degrees
Fractional coordinates of all 10 atoms:
In (0.113, 0.250, 0.223)
In (0.887, 0.750, 0.777)
Hg (0.496, 0.250, 0.005)
Hg (0.504, 0.750, 0.995)
Pb (0.111, 0.750, 0.214)
Pb (0.308, 0.000, 0.621)
Pb (0.308, 0.500, 0.621)
Pb (0.692, 0.000, 0.379)
Pb (0.692, 0.500, 0.379)
Pb (0.889, 0.250, 0.786)

---

Stability verdict: version one, ahead by 0.9 kJ/mol of atoms

---

Version one
Computed, not measured: a relaxed InHg4Pb7 crystal at the PBE level of DFT.

Cell lengths 5.385, 5.385, 13.887 Å; angles 90.00, 90.00, 120.00 degrees
Fractional coordinates of all 12 atoms:
In (0.000, 0.000, 0.000)
Hg (0.333, 0.667, 0.167)
Hg (0.333, 0.667, 0.413)
Hg (0.667, 0.333, 0.587)
Hg (0.667, 0.333, 0.833)
Pb (0.000, 0.000, 0.241)
Pb (0.000, 0.000, 0.500)
Pb (0.000, 0.000, 0.759)
Pb (0.333, 0.667, 0.657)
Pb (0.333, 0.667, 0.913)
Pb (0.667, 0.333, 0.087)
Pb (0.667, 0.333, 0.343)

---

Version two
Computed, not measured: a relaxed InHg4Pb7 crystal at the PBE level of DFT.

Cell lengths 7.687, 7.687, 11.187 Å; angles 122.19, 122.19, 44.18 degrees
Fractional coordinates of all 12 atoms:
In (0.000, 0.000, 0.000)
Hg (0.280, 0.280, 0.672)
Hg (0.430, 0.430, 0.229)
Hg (0.570, 0.570, 0.771)
Hg (0.720, 0.720, 0.328)
Pb (0.077, 0.077, 0.335)
Pb (0.213, 0.213, 0.893)
Pb (0.350, 0.350, 0.434)
Pb (0.500, 0.500, 0.000)
Pb (0.650, 0.650, 0.566)
Pb (0.787, 0.787, 0.107)
Pb (0.923, 0.923, 0.665)

---

Stability verdict: version one, ahead by 8.4 kJ/mol of atoms

---

Version one
Computed, not measured: a relaxed In3HgPb crystal at the PBE level of DFT.

Cell lengths 5.180, 5.180, 12.607 Å; angles 90.17, 90.17, 60.00 degrees
Fractional coordinates of all 10 atoms:
In (0.000, 0.000, 0.000)
In (0.000, 0.000, 0.326)
In (0.333, 0.333, 0.119)
In (0.333, 0.333, 0.619)
In (0.666, 0.666, 0.826)
In (0.667, 0.667, 0.500)
Hg (0.333, 0.333, 0.378)
Hg (0.333, 0.333, 0.878)
Pb (0.000, 0.000, 0.691)
Pb (0.667, 0.667, 0.191)

---

Version two
Computed, not measured: a relaxed In3HgPb crystal at the PBE level of DFT.

Cell lengths 3.279, 5.995, 16.336 Å; angles 90.00, 90.00, 90.00 degrees
Fractional coordinates of all 10 atoms:
In (0.000, 0.000, 0.000)
In (0.000, 0.500, 0.500)
In (0.500, 0.247, 0.358)
In (0.500, 0.253, 0.858)
In (0.500, 0.747, 0.858)
In (0.500, 0.753, 0.358)
Hg (0.000, 0.000, 0.682)
Hg (0.000, 0.500, 0.182)
Pb (0.500, 0.000, 0.174)
Pb (0.500, 0.500, 0.674)

---

Stability verdict: version one, ahead by 6.2 kJ/mol of atoms